# 1
# VNi2Pd6 | Alexandria via LeMat-Bulk | PBE-GGA | optimized geometry
# total moment: 0.9 μB/f.u.
# space-group type: C2/m
# formation energy: 0.015 eV/atom
# ΔE to the lowest computed polymorph: 106 kJ/mol of formula units
data_VNi2Pd6
_chemical_formula_sum 'V1 Ni2 Pd6'
_cell_length_a 6.701
_cell_length_b 6.701
_cell_length_c 7.531
_cell_angle_alpha 100.36
_cell_angle_beta 100.36
_cell_angle_gamma 23.43
_space_group_name_H-M_alt 'P 1'
_space_group_IT_number 1
_space_group_name_Hall 'P 1'
loop_
_atom_site_label
_atom_site_type_symbol
_atom_site_fract_x
_atom_site_fract_y
_atom_site_fract_z
_atom_site_occupancy
V1 V 0.000 0.000 0.000 1
Ni1 Ni 0.167 0.167 0.220 1
Ni2 Ni 0.833 0.833 0.780 1
Pd1 Pd 0.009 0.009 0.682 1
Pd2 Pd 0.338 0.338 0.473 1
Pd3 Pd 0.340 0.340 0.082 1
Pd4 Pd 0.660 0.660 0.918 1
Pd5 Pd 0.662 0.662 0.527 1
Pd6 Pd 0.991 0.991 0.318 1



# 2
# Sc2BI | Alexandria via LeMat-Bulk | PBE-GGA | optimized geometry
# total moment: 0.7 μB/f.u.
# space-group type: R-3m
# ΔE to the lowest computed polymorph: 435 kJ/mol of formula units
data_Sc2BI
_chemical_formula_sum 'Sc2 B1 I1'
_cell_length_a 9.426
_cell_length_b 9.426
_cell_length_c 9.426
_cell_angle_alpha 21.97
_cell_angle_beta 21.97
_cell_angle_gamma 21.97
_space_group_name_H-M_alt 'P 1'
_space_group_IT_number 1
_space_group_name_Hall 'P 1'
loop_
_atom_site_label
_atom_site_type_symbol
_atom_site_fract_x
_atom_site_fract_y
_atom_site_fract_z
_atom_site_occupancy
Sc1 Sc 0.083 0.083 0.083 1
Sc2 Sc 0.917 0.917 0.917 1
B1 B 0.000 0.000 0.000 1
I1 I 0.500 0.500 0.500 1



# 3
# Re2HgBiO8 | Alexandria via LeMat-Bulk | PBE-GGA | optimized geometry
# final energy: -6.981 eV per atom
# total moment: 1.0 μB/f.u.
# space-group type: C2/m
data_Re2HgBiO8
_chemical_formula_sum 'Re2 Hg1 Bi1 O8'
_cell_length_a 7.507
_cell_length_b 7.507
_cell_length_c 5.811
_cell_angle_alpha 105.43
_cell_angle_beta 105.43
_cell_angle_gamma 65.80
_space_group_name_H-M_alt 'P 1'
_space_group_IT_number 1
_space_group_name_Hall 'P 1'
loop_
_atom_site_label
_atom_site_type_symbol
_atom_site_fract_x
_atom_site_fract_y
_atom_site_fract_z
_atom_site_occupancy
Re1 Re 0.182 0.182 0.206 1
Re2 Re 0.818 0.818 0.794 1
Hg1 Hg 0.500 0.500 0.000 1
Bi1 Bi 0.000 0.000 0.500 1
O1 O 0.045 0.725 0.675 1
O2 O 0.140 0.140 0.881 1
O3 O 0.275 0.955 0.325 1
O4 O 0.325 0.325 0.343 1
O5 O 0.675 0.675 0.657 1
O6 O 0.725 0.045 0.675 1
O7 O 0.860 0.860 0.119 1
O8 O 0.955 0.275 0.325 1



# 4
# Ni3Ir | Alexandria via LeMat-Bulk | PBE-GGA | optimized geometry
# total moment: 2.4 μB/f.u.
# space-group type: Pmm2
# formation energy: 0.041 eV/atom
data_Ni3Ir
_chemical_formula_sum 'Ni3 Ir1'
_cell_length_a 2.610
_cell_length_b 4.172
_cell_length_c 4.413
_cell_angle_alpha 90.00
_cell_angle_beta 90.00
_cell_angle_gamma 90.00
_space_group_name_H-M_alt 'P 1'
_space_group_IT_number 1
_space_group_name_Hall 'P 1'
loop_
_atom_site_label
_atom_site_type_symbol
_atom_site_fract_x
_atom_site_fract_y
_atom_site_fract_z
_atom_site_occupancy
Ni1 Ni 0.000 0.000 0.000 1
Ni2 Ni 0.000 0.500 0.331 1
Ni3 Ni 0.500 0.500 0.838 1
Ir1 Ir 0.500 0.000 0.499 1



# 5
# Fe2AgW | Alexandria via LeMat-Bulk | PBE-GGA | optimized geometry
# total moment: 2.8 μB/f.u.
# space-group type: I-4m2
# formation energy: 0.503 eV/atom
# ΔE to the lowest computed polymorph: 78 kJ/mol of formula units
data_Fe2AgW
_chemical_formula_sum 'Fe2 Ag1 W1'
_cell_length_a 4.753
_cell_length_b 4.753
_cell_length_c 4.753
_cell_angle_alpha 133.74
_cell_angle_beta 133.74
_cell_angle_gamma 67.49
_space_group_name_H-M_alt 'P 1'
_space_group_IT_number 1
_space_group_name_Hall 'P 1'
loop_
_atom_site_label
_atom_site_type_symbol
_atom_site_fract_x
_atom_site_fract_y
_atom_site_fract_z
_atom_site_occupancy
Fe1 Fe 0.000 0.000 0.000 1
Fe2 Fe 0.750 0.250 0.500 1
Ag1 Ag 0.500 0.500 0.000 1
W1 W 0.250 0.750 0.500 1



The calculation returns the following density values, one per record and in order: 10.14; 3.68; 5.33; 12.73; 12.16 g/cm3.